No. 1
This record from the Alexandria database describes an optimized crystal structure of HfCo2BiOs. The functional is PBE.

Unit cell a=4.4868 b=4.4868 c=5.1739 alpha=90.00 beta=90.00 gamma=90.00
Closest atoms and distances in Å follow each position.
Space group P4/mmm (No. 123)
Inequivalent atoms, fractional coordinates:
Hf  0.0000  0.0000  0.0000 x1  4 Bi 3.17, 8 Co 3.42
Co  0.0000  0.5000  0.5000 x2  2 Os 2.24
Bi  0.5000  0.5000  0.0000 x1  2 Os 2.59
Os  0.5000  0.5000  0.5000 x1  4 Co 2.24

Computed properties:
The calculation puts the final energy at -6.631 eV/atom. As for the formation energy: 1.22 eV/atom. As for the density of states at the Fermi level: 1.18 states/eV per atom.

---

No. 2
This record from the Alexandria database describes an optimized crystal structure of Tm12Mg6Tl. The functional is PBE.

Unit cell a=11.3155 b=11.3155 c=14.4306 alpha=90.00 beta=90.00 gamma=120.00
Closest atoms and distances in Å follow each position.
Space group R-3 (No. 148, hexagonal axes)
Inequivalent atoms, fractional coordinates:
Tm  0.0231  0.1858  0.3178 x18  5 Mg 3.26-3.63, 1 Tl 3.29, 5 Tm 3.33-3.51
Tm  0.0621  0.8538  0.9092 x18  4 Mg 3.23-3.59, 5 Tm 3.36-3.51
Mg  0.0318  0.4373  0.2014 x18  1 Tl 3.13, 6 Tm 3.23-3.33, 2 Mg 3.24
Tl  0.0000  0.0000  0.5000 x3  6 Mg 3.13, 6 Tm 3.29

Computed properties:
The calculation puts the final energy at -3.415 eV/atom. As for the formation energy: 0.04 eV/atom. As for the density of states at the Fermi level: 1.39 states/eV per atom.

---

No. 3
This record from the Alexandria database describes an optimized crystal structure of PtBr3. The functional is PBE.

Unit cell a=3.9192 b=3.9192 c=25.8494 alpha=90.00 beta=90.00 gamma=120.00
Closest atoms and distances in Å follow each position.
Space group R-3m (No. 166, hexagonal axes)
Inequivalent atoms, fractional coordinates:
Pt  0.0000  0.0000  0.0000 x3  6 Br 2.68
Br  0.0000  0.0000  0.3886 x6  3 Pt 2.68, 1 Br 2.88
Br  0.0000  0.0000  0.5000 x3  2 Br 2.88

Computed properties:
As for the formation energy (no corrections): 0.22 eV per atom. The calculation puts the final energy at -2.548 eV/atom. As for the density of states at the Fermi level: 0.48 states/eV per atom.

---

No. 4
This record from the Alexandria database describes an optimized crystal structure of UCuGe2. The functional is PBE.

Unit cell a=4.8029 b=4.8029 c=18.1999 alpha=90.00 beta=90.00 gamma=120.00
Closest atoms and distances in Å follow each position.
Space group R-3m (No. 166, hexagonal axes)
Inequivalent atoms, fractional coordinates:
U  0.0000  0.0000  0.0000 x3  6 Ge 2.87
Cu  0.0000  0.0000  0.5000 x3  2 Ge 2.31
Ge  0.0000  0.0000  0.3729 x6  1 Cu 2.31

Computed properties:
The calculation puts the final energy at -5.435 eV/atom. As for the formation energy: 0.72 eV/atom. As for the density of states at the Fermi level: 1.79 states/eV per atom.

---

No. 5
This record from the Alexandria database describes an optimized crystal structure of Zn8InAu2. The functional is PBE.

Unit cell a=12.8145 b=5.9583 c=5.1387 alpha=90.00 beta=98.62 gamma=90.00
Closest atoms and distances in Å follow each position.
Space group C2/m (No. 12)
Inequivalent atoms, fractional coordinates:
Zn  0.0771  0.0000  0.3831 x4  4 Zn 2.46-2.75, 1 Au 2.61
Zn  0.0919  0.2341  0.9298 x8  5 Zn 2.56-2.87, 2 Au 2.66-2.74, 1 In 2.83
Zn  0.2301  0.5000  0.2979 x4  2 Au 2.55-2.60, 1 Zn 2.75
In  0.0000  0.5000  0.5000 x2  4 Zn 2.83
Au  0.2426  0.5000  0.7971 x4  7 Zn 2.55-2.74

Computed properties:
The calculation puts the final energy at -1.798 eV/atom. As for the formation energy: -0.03 eV/atom. As for the density of states at the Fermi level: 0.20 states/eV per atom.

---

No. 6
This record from the Alexandria database describes an optimized crystal structure of Zr3TaH. The functional is PBE.

Unit cell a=4.4701 b=4.4701 c=4.4701 alpha=90.00 beta=90.00 gamma=90.00
Closest atoms and distances in Å follow each position.
Space group Pm-3m (No. 221)
Inequivalent atoms, fractional coordinates:
Zr  0.0000  0.0000  0.5000 x3  2 H 2.24
Ta  0.5000  0.5000  0.5000 x1  12 Zr 3.16
H  0.0000  0.0000  0.0000 x1  6 Zr 2.24

Computed properties:
The calculation puts the final energy at -8.152 eV/atom. The calculation puts the relative energy among the computed polymorphs at 0 meV per atom. As for the density of states at the Fermi level: 1.53 states/eV per atom.

---

No. 7
This record from the Alexandria database describes an optimized crystal structure of Tb4Sc. The functional is PBE.

Unit cell a=3.5177 b=3.5177 c=24.5374 alpha=90.00 beta=90.00 gamma=90.00
Closest atoms and distances in Å follow each position.
Space group I4/mmm (No. 139)
Inequivalent atoms, fractional coordinates:
Tb  0.0000  0.0000  0.0945 x4  4 Sc 3.40, 8 Tb 3.52-3.56
Tb  0.0000  0.0000  0.3017 x4  12 Tb 3.52-3.56
Sc  0.0000  0.0000  0.5000 x2  8 Tb 3.40, 4 Sc 3.52

Computed properties:
The calculation puts the final energy at -4.936 eV/atom. The calculation puts the relative energy among the computed polymorphs at 0 meV per atom. As for the formation energy: 0.03 eV/atom. As for the density of states at the Fermi level: 1.51 states/eV per atom.

---

No. 8
This record from the Alexandria database describes an optimized crystal structure of PuHfSc6. The functional is PBE.

Unit cell a=5.1730 b=6.5195 c=11.3645 alpha=90.00 beta=90.00 gamma=90.00
Closest atoms and distances in Å follow each position.
Space group Amm2 (No. 38)
Inequivalent atoms, fractional coordinates:
Pu  0.0000  0.0000  0.0000 x2  2 Hf 3.15, 10 Sc 3.21-3.33
Hf  0.5000  0.0000  0.1576 x2  2 Pu 3.15, 10 Sc 3.20-3.32
Sc  0.0000  0.0000  0.4962 x2  10 Sc 3.20-3.30, 2 Pu 3.26
Sc  0.0000  0.2436  0.2461 x4  8 Sc 3.18-3.34, 2 Hf 3.20, 2 Pu 3.22-3.33
Sc  0.5000  0.0000  0.6618 x2  10 Sc 3.20-3.30, 2 Hf 3.26
Sc  0.5000  0.2469  0.9107 x4  8 Sc 3.19-3.30, 2 Pu 3.21, 2 Hf 3.24-3.32

Computed properties:
The calculation puts the final energy at -7.741 eV/atom. The calculation puts the relative energy among the computed polymorphs at 0 meV per atom. As for the formation energy: 0.04 eV/atom. As for the density of states at the Fermi level: 1.89 states/eV per atom.

---

No. 9
This record from the Alexandria database describes an optimized crystal structure of Fe3TcAs. The functional is PBE.

Unit cell a=4.3534 b=4.3534 c=4.3534 alpha=90.00 beta=90.00 gamma=90.00
Closest atoms and distances in Å follow each position.
Space group Pm-3m (No. 221)
Inequivalent atoms, fractional coordinates:
Fe  0.0000  0.0000  0.5000 x3  2 As 2.18
Tc  0.5000  0.5000  0.5000 x1  12 Fe 3.08
As  0.0000  0.0000  0.0000 x1  6 Fe 2.18

Computed properties:
The calculation puts the final energy at -7.030 eV/atom. The calculation puts the relative energy among the computed polymorphs at 0 meV per atom. As for the formation energy: 1.05 eV/atom. As for the density of states at the Fermi level: 1.68 states/eV per atom.

---

No. 10
This record from the Alexandria database describes an optimized crystal structure of Pr6Zn2Ag. The functional is PBE.

Unit cell a=6.4865 b=9.5189 c=9.8217 alpha=90.00 beta=116.10 gamma=90.00
Closest atoms and distances in Å follow each position.
Space group P2_1/c (No. 14)
Inequivalent atoms, fractional coordinates:
Pr  0.0768  0.1713  0.4760 x4  2 Zn 2.97-3.07, 1 Ag 3.19
Pr  0.3586  0.6868  0.4462 x4  2 Zn 3.11-3.28, 1 Ag 3.15
Pr  0.4174  0.0307  0.2954 x4  1 Ag 2.99
Zn  0.1405  0.0936  0.7846 x4  1 Ag 2.79, 3 Pr 2.97-3.11
Ag  0.0000  0.0000  0.0000 x2  2 Zn 2.79, 2 Pr 2.99

Computed properties:
The calculation puts the final energy at -3.868 eV/atom. The calculation puts the relative energy among the computed polymorphs at 57 meV per atom. As for the formation energy: -0.08 eV/atom. As for the density of states at the Fermi level: 1.06 states/eV per atom.

---

No. 11
This record from the Alexandria database describes an optimized crystal structure of TmGaTe2. The functional is PBE.

Unit cell a=4.2429 b=4.2429 c=23.7699 alpha=90.00 beta=90.00 gamma=120.00
Closest atoms and distances in Å follow each position.
Space group R3m (No. 160, hexagonal axes)
Inequivalent atoms, fractional coordinates:
Tm  0.0000  0.0000  0.0000 x3  6 Te 3.07-3.10
Ga  0.0000  0.0000  0.1669 x3  6 Te 3.20-3.23
Te  0.0000  0.0000  0.5887 x3  3 Tm 3.07, 3 Ga 3.23
Te  0.0000  0.0000  0.7469 x3  3 Tm 3.10, 3 Ga 3.20

Computed properties:
As for the formation energy (no corrections): -0.82 eV per atom. The calculation puts the final energy at -4.262 eV/atom. As for the density of states at the Fermi level: 0.12 states/eV per atom.

---

No. 12
This record from the Alexandria database describes an optimized crystal structure of MgInSCl2. The functional is PBE.

Unit cell a=5.1612 b=5.1612 c=5.1296 alpha=90.00 beta=90.00 gamma=90.00
Closest atoms and distances in Å follow each position.
Space group P4/mmm (No. 123)
Inequivalent atoms, fractional coordinates:
Mg  0.0000  0.0000  0.0000 x1  8 Cl 3.64, 4 S 3.65
In  0.5000  0.5000  0.5000 x1  2 S 2.56, 4 Cl 2.58
S  0.5000  0.5000  0.0000 x1  2 In 2.56
Cl  0.0000  0.5000  0.5000 x2  2 In 2.58

Computed properties:
As for the formation energy (no corrections): -0.48 eV per atom. The calculation puts the final energy at -2.907 eV/atom. The calculation puts the relative energy among the computed polymorphs at 423 meV per atom. As for the density of states at the Fermi level: 0.44 states/eV per atom.

---

No. 13
This record from the Alexandria database describes an optimized crystal structure of TiNiI2Br. The functional is PBE.

Unit cell a=5.3788 b=5.3788 c=5.0099 alpha=90.00 beta=90.00 gamma=90.00
Closest atoms and distances in Å follow each position.
Space group P4/mmm (No. 123)
Inequivalent atoms, fractional coordinates:
Ti  0.0000  0.0000  0.0000 x1  2 Ni 2.50, 4 I 2.69
Ni  0.0000  0.0000  0.5000 x1  2 Ti 2.50
I  0.0000  0.5000  0.0000 x2  2 Ti 2.69
Br  0.5000  0.5000  0.5000 x1  8 I 3.68, 4 Ni 3.80

Computed properties:
As for the formation energy (no corrections): 0.32 eV per atom. The calculation puts the final energy at -3.368 eV/atom. As for the density of states at the Fermi level: 1.05 states/eV per atom.

---

No. 14
This record from the Alexandria database describes an optimized crystal structure of KLaY2. The functional is PBE.

Unit cell a=3.6849 b=3.6849 c=11.6923 alpha=90.00 beta=90.00 gamma=90.00
Closest atoms and distances in Å follow each position.
Space group P4/mmm (No. 123)
Inequivalent atoms, fractional coordinates:
K  0.0000  0.0000  0.0000 x1  4 K 3.68
La  0.0000  0.0000  0.5000 x1  8 Y 3.57, 4 La 3.68
Y  0.5000  0.5000  0.2917 x2  4 La 3.57, 4 Y 3.68

Computed properties:
The calculation puts the final energy at -4.487 eV/atom. The calculation puts the relative energy among the computed polymorphs at 64 meV per atom. As for the formation energy: 0.25 eV/atom. As for the density of states at the Fermi level: 1.64 states/eV per atom.

---

No. 15
This record from the Alexandria database describes an optimized crystal structure of CaPrBi. The functional is PBE.

Unit cell a=4.4884 b=14.2531 c=6.5636 alpha=90.00 beta=90.00 gamma=90.00
Closest atoms and distances in Å follow each position.
Space group Cmcm (No. 63)
Inequivalent atoms, fractional coordinates:
Ca  0.0000  0.2028  0.2500 x4  4 Bi 3.23-3.42
Pr  0.0000  0.5000  0.0000 x4  2 Pr 3.28, 4 Bi 3.37
Bi  0.0000  0.1341  0.7500 x4  4 Ca 3.23-3.42, 4 Pr 3.37

Computed properties:
The calculation puts the final energy at -4.186 eV/atom. As for the formation energy: -0.63 eV/atom. As for the density of states at the Fermi level: 0.85 states/eV per atom.

---

No. 16
This record from the Alexandria database describes an optimized crystal structure of OF. The functional is PBE.

Unit cell a=3.6705 b=3.6705 c=5.1049 alpha=90.00 beta=90.00 gamma=120.00
Closest atoms and distances in Å follow each position.
Space group P6_3mc (No. 186)
Inequivalent atoms, fractional coordinates:
O  0.3333  0.6667  0.0000 x2  4 F 2.05-2.18
F  0.3333  0.6667  0.4024 x2  4 O 2.05-2.18

Computed properties:
As for the formation energy (no corrections): 1.08 eV per atom. The calculation puts the final energy at -2.332 eV/atom. The calculation puts the relative energy among the computed polymorphs at 1228 meV per atom.

---

No. 17
This record from the Alexandria database describes an optimized crystal structure of Zn2H4Pb. The functional is PBE.

Unit cell a=4.5759 b=4.5759 c=10.1985 alpha=90.00 beta=90.00 gamma=90.00
Closest atoms and distances in Å follow each position.
Space group I4/mmm (No. 139)
Inequivalent atoms, fractional coordinates:
Zn  0.0000  0.0000  0.1155 x4  1 H 1.61
H  0.0000  0.0000  0.2732 x4  1 Zn 1.61
H  0.0000  0.5000  0.0000 x4  2 Pb 2.29
Pb  0.0000  0.0000  0.5000 x2  6 H 2.29-2.31

Computed properties:
The calculation puts the final energy at -2.327 eV/atom. As for the density of states at the Fermi level: 0.16 states/eV per atom.

---

No. 18
This record from the Alexandria database describes an optimized crystal structure of YPAuS2. The functional is PBE.

Unit cell a=4.8609 b=4.8609 c=4.7310 alpha=90.00 beta=90.00 gamma=90.00
Closest atoms and distances in Å follow each position.
Space group P4/mmm (No. 123)
Inequivalent atoms, fractional coordinates:
Y  0.0000  0.0000  0.0000 x1  8 S 3.39, 4 P 3.44
P  0.5000  0.5000  0.0000 x1  2 Au 2.37
Au  0.5000  0.5000  0.5000 x1  2 P 2.37, 4 S 2.43
S  0.0000  0.5000  0.5000 x2  2 Au 2.43

Computed properties:
As for the formation energy (no corrections): -0.08 eV per atom. The calculation puts the final energy at -4.760 eV/atom. The calculation puts the relative energy among the computed polymorphs at 0 meV per atom. As for the density of states at the Fermi level: 0.71 states/eV per atom.

---

No. 19
This record from the Alexandria database describes an optimized crystal structure of Tb6SnSb3. The functional is PBE.

Unit cell a=11.0738 b=14.9140 c=7.6480 alpha=90.00 beta=90.00 gamma=90.00
Closest atoms and distances in Å follow each position.
Space group Cmc2_1 (No. 36)
Inequivalent atoms, fractional coordinates:
Tb  0.0000  0.0039  0.0000 x4  4 Sb 3.10-3.26, 2 Sn 3.11-3.22
Tb  0.0000  0.2497  0.8753 x4  1 Sn 3.09, 3 Sb 3.20-3.36
Tb  0.1767  0.4494  0.8911 x8  4 Sb 3.03-3.14
Tb  0.1898  0.2744  0.4904 x8  3 Sb 3.07-3.14, 1 Sn 3.22
Sn  0.0000  0.1691  0.2473 x4  5 Tb 3.09-3.22
Sb  0.0000  0.4194  0.5859 x4  7 Tb 3.08-3.36
Sb  0.1827  0.1022  0.7266 x8  7 Tb 3.03-3.26

Computed properties:
As for the formation energy (no corrections): -0.71 eV per atom. The calculation puts the final energy at -5.121 eV/atom. As for the density of states at the Fermi level: 0.76 states/eV per atom.